Here is an optimized crystal structure of NaV6O14 from Alexandria via LeMat-Bulk. Energies are from PBE with a Hubbard U.

Computed properties:
density of states at the Fermi level	0.016	states/eV/cell
uncorrected energy	-7.342	eV/atom

Unit cell a=8.641 b=8.641 c=10.525 alpha=108.67 beta=108.67 gamma=24.36
Positions (direct):
Na (0.000, 0.000, 0.000)
V (0.172, 0.172, 0.504)
V (0.309, 0.309, 0.814)
V (0.356, 0.356, 0.493)
V (0.670, 0.670, 0.262)
V (0.725, 0.725, 0.964)
V (0.867, 0.867, 0.257)
O (0.117, 0.117, 0.604)
O (0.198, 0.198, 0.326)
O (0.260, 0.260, 0.962)
O (0.282, 0.282, 0.608)
O (0.385, 0.385, 0.330)
O (0.412, 0.412, 0.878)
O (0.445, 0.445, 0.610)
O (0.577, 0.577, 0.144)
O (0.624, 0.624, 0.905)
O (0.650, 0.650, 0.441)
O (0.748, 0.748, 0.151)
O (0.766, 0.766, 0.809)
O (0.832, 0.832, 0.445)
O (0.910, 0.910, 0.138)